Here is crystalline MgCd2Mo at its relaxed geometry from Alexandria via LeMat-Bulk. Energies are from PBEsol.

Results
- raw total energy (eV for the cell shown) = -14.18
- DFT formation energy (eV/atom) = 0.4255
- symmetry = I-4m2, No. 119

Lattice parameters (Å, degrees): 5.207 5.207 5.207 133.53 133.53 67.83
Sites, in units of the cell vectors:
Mg 0.000 0.000 0.000
Cd 0.250 0.750 0.500
Cd 0.500 0.500 0.000
Mo 0.750 0.250 0.500